# 1
The following is a DFT calculation (GGA-PBEsol) of NaZnAsH2 after structural relaxation.

Cell lengths 3.9152, 3.9152, 4.9755 Å; angles 90.00, 90.00, 90.00 degrees
Last column: nearest neighbours and their distance in Å.
Sites, in units of the cell vectors:
Na: 0.0000 0.0000 0.0000  4 Zn 2.77
Zn: 0.5000 0.5000 0.0000  2 As 2.49, 4 Na 2.77
As: 0.5000 0.5000 0.5000  4 H 1.96
H: 0.0000 0.5000 0.5000  2 As 1.96
H: 0.5000 0.0000 0.5000  2 As 1.96

Crystal system = tetragonal
Space-group type = P4/mmm, No. 123

# 2
The following is a DFT calculation (GGA-PBEsol) of HfPPdCl2 after structural relaxation.

Cell lengths 4.7675, 4.7675, 5.0984 Å; angles 90.00, 90.00, 90.00 degrees
Last column: nearest neighbours and their distance in Å.
Sites, in units of the cell vectors:
Hf: 0.0000 0.0000 0.0000  4 Cl 2.38, 2 P 2.55
P: 0.0000 0.0000 0.5000  2 Hf 2.55
Pd: 0.5000 0.5000 0.5000  4 P 3.37, 8 Cl 3.49
Cl: 0.0000 0.5000 0.0000  2 Hf 2.38
Cl: 0.5000 0.0000 0.0000  2 Hf 2.38

Crystal system = tetragonal
Space-group type = P4/mmm, No. 123

# 3
The following is a DFT calculation (GGA-PBEsol) of CdP2Pb after structural relaxation.

Cell lengths 4.3972, 4.4815, 4.4815 Å; angles 77.38, 90.00, 90.00 degrees
Last column: nearest neighbours and their distance in Å.
Sites, in units of the cell vectors:
Cd: 0.0000 0.0000 0.0000  5 P 2.82-2.88, 2 Pb 3.07
P: 0.0000 0.5966 0.5966  2 P 2.41
P: 0.5000 0.7388 0.7388  2 P 2.41
Pb: 0.5000 0.3063 0.3063  5 P 2.84-3.03, 2 Cd 3.07

Crystal system = orthorhombic
Space-group type = Amm2, No. 38
Formation energy = 236 meV/atom

# 4
The following is a DFT calculation (GGA-PBEsol) of Cs2CdGaFe after structural relaxation.

Cell lengths 7.0510, 7.0510, 4.8864 Å; angles 90.00, 90.00, 90.00 degrees
Last column: nearest neighbours and their distance in Å.
Sites, in units of the cell vectors:
Cs: 0.0000 0.5000 0.0000  2 Cd 3.53
Cs: 0.5000 0.0000 0.0000  2 Cd 3.53
Cd: 0.0000 0.0000 0.0000  2 Ga 2.44
Ga: 0.0000 0.0000 0.5000  2 Cd 2.44
Fe: 0.5000 0.5000 0.5000  8 Cs 4.29

Crystal system = tetragonal
Space-group type = P4/mmm, No. 123
Formation energy = 986 meV/atom

# 5
The following is a DFT calculation (GGA-PBEsol) of Sr2Cu3O5 after structural relaxation.

Cell lengths 9.8410, 9.8410, 3.4493 Å; angles 90.00, 90.00, 157.21 degrees
Last column: nearest neighbours and their distance in Å.
Sites, in units of the cell vectors:
Sr: 0.1010 0.8990 0.0000  8 O 2.60-2.62
Sr: 0.8990 0.1010 0.0000  8 O 2.60-2.62
Cu: 0.3012 0.6988 0.5000  4 O 1.88-1.95
Cu: 0.5000 0.5000 0.5000  4 O 1.94-1.95
Cu: 0.6988 0.3012 0.5000  4 O 1.88-1.95
O: 0.0000 0.0000 0.5000  2 Cu 1.94
O: 0.2032 0.7968 0.5000  3 Cu 1.89-1.95
O: 0.3987 0.6013 0.5000  2 Cu 1.88-1.95
O: 0.6013 0.3987 0.5000  2 Cu 1.88-1.95
O: 0.7968 0.2032 0.5000  3 Cu 1.89-1.95

Crystal system = orthorhombic
Space-group type = Cmmm, No. 65
Offset from the most stable computed form = 0.000 eV per formula unit

# 6
The following is a DFT calculation (GGA-PBEsol) of YTl3Cu after structural relaxation.

Cell lengths 5.0380, 5.0380, 5.0380 Å; angles 90.00, 90.00, 90.00 degrees
Last column: nearest neighbours and their distance in Å.
Sites, in units of the cell vectors:
Y: 0.0000 0.0000 0.0000  12 Tl 3.56
Tl: 0.0000 0.5000 0.5000  2 Cu 2.52
Tl: 0.5000 0.0000 0.5000  2 Cu 2.52
Tl: 0.5000 0.5000 0.0000  2 Cu 2.52
Cu: 0.5000 0.5000 0.5000  6 Tl 2.52

Crystal system = cubic
Space-group type = Pm-3m, No. 221
Formation energy = 126 meV/atom

# 7
The following is a DFT calculation (GGA-PBEsol) of Ta13Mo3 after structural relaxation.

Cell lengths 6.4848, 6.5025, 6.5025 Å; angles 89.17, 90.00, 90.00 degrees
Last column: nearest neighbours and their distance in Å.
Sites, in units of the cell vectors:
Ta: 0.0000 0.0000 0.0000  6 Ta 2.78-2.86, 2 Mo 2.79
Ta: 0.0000 0.0029 0.4891  2 Mo 2.75, 6 Ta 2.83-2.86
Ta: 0.0000 0.4891 0.0029  2 Mo 2.75, 6 Ta 2.83-2.86
Ta: 0.0000 0.4931 0.4931  2 Mo 2.82, 6 Ta 2.84-2.86
Ta: 0.2524 0.7468 0.7468  1 Mo 2.81, 7 Ta 2.85-2.86
Ta: 0.2532 0.2411 0.7492  1 Mo 2.76, 7 Ta 2.78-2.85
Ta: 0.2532 0.7492 0.2411  1 Mo 2.76, 7 Ta 2.78-2.85
Ta: 0.5000 0.0023 0.4877  2 Mo 2.74, 6 Ta 2.81-2.85
Ta: 0.5000 0.4877 0.0023  2 Mo 2.74, 6 Ta 2.81-2.85
Ta: 0.5000 0.4912 0.4912  2 Mo 2.79, 6 Ta 2.82-2.86
Ta: 0.7468 0.2411 0.7492  1 Mo 2.76, 7 Ta 2.78-2.85
Ta: 0.7468 0.7492 0.2411  1 Mo 2.76, 7 Ta 2.78-2.85
Ta: 0.7476 0.7468 0.7468  1 Mo 2.81, 7 Ta 2.85-2.86
Mo: 0.2512 0.2450 0.2450  7 Ta 2.74-2.82, 1 Mo 2.81
Mo: 0.5000 0.9960 0.9960  6 Ta 2.76-2.81, 2 Mo 2.81
Mo: 0.7488 0.2450 0.2450  7 Ta 2.74-2.82, 1 Mo 2.81

Crystal system = orthorhombic
Space-group type = Amm2, No. 38
Formation energy = -54 meV/atom

# 8
The following is a DFT calculation (GGA-PBEsol) of YSi2Sb after structural relaxation.

Cell lengths 7.6619, 7.6619, 7.6619 Å; angles 28.56, 28.56, 28.56 degrees
Last column: nearest neighbours and their distance in Å.
Sites, in units of the cell vectors:
Y: 0.0000 0.0000 0.0000  6 Si 2.94
Si: 0.2441 0.2441 0.2441  3 Sb 2.77, 3 Y 2.94
Si: 0.7559 0.7559 0.7559  3 Sb 2.77, 3 Y 2.94
Sb: 0.5000 0.5000 0.5000  6 Si 2.77

Crystal system = trigonal
Space-group type = R-3m, No. 166

# 9
The following is a DFT calculation (GGA-PBEsol) of InP2H6NO8 after structural relaxation.

Cell lengths 9.8334, 8.4259, 9.3946 Å; angles 90.00, 117.60, 90.00 degrees
Last column: nearest neighbours and their distance in Å.
Sites, in units of the cell vectors:
In: 0.2488 0.1125 0.2550  6 O 2.12-2.16
In: 0.2488 0.3875 0.7550  6 O 2.12-2.16
In: 0.7512 0.6125 0.2450  6 O 2.12-2.16
In: 0.7512 0.8875 0.7450  6 O 2.12-2.16
P: 0.0992 0.0585 0.8505  4 O 1.53-1.58
P: 0.0992 0.4415 0.3505  4 O 1.53-1.58
P: 0.4942 0.1925 0.6420  4 O 1.52-1.61
P: 0.4942 0.3075 0.1420  4 O 1.52-1.61
P: 0.5058 0.6925 0.8580  4 O 1.52-1.61
P: 0.5058 0.8075 0.3580  4 O 1.52-1.61
P: 0.9008 0.5585 0.6495  4 O 1.53-1.58
P: 0.9008 0.9415 0.1495  4 O 1.53-1.58
H: 0.0378 0.6972 0.0439  1 N 1.04
H: 0.0378 0.8028 0.5439  1 N 1.04
H: 0.1307 0.6119 0.9500  1 N 1.05
H: 0.1307 0.8881 0.4500  1 N 1.05
H: 0.1625 0.5408 0.1312  1 N 1.04
H: 0.1625 0.9592 0.6312  1 N 1.04
H: 0.2260 0.7278 0.1199  1 N 1.04
H: 0.2260 0.7722 0.6199  1 N 1.04
H: 0.2939 0.6129 0.4135  1 O 1.01
H: 0.2939 0.8871 0.9135  1 O 1.01
H: 0.4996 0.1973 0.9319  1 O 1.03
H: 0.4996 0.3027 0.4319  1 O 1.03
H: 0.5004 0.6973 0.5681  1 O 1.03
H: 0.5004 0.8027 0.0681  1 O 1.03
H: 0.7061 0.1129 0.0865  1 O 1.01
H: 0.7061 0.3871 0.5865  1 O 1.01
H: 0.7740 0.2278 0.3801  1 N 1.04
H: 0.7740 0.2722 0.8801  1 N 1.04
H: 0.8375 0.0408 0.3688  1 N 1.04
H: 0.8375 0.4592 0.8688  1 N 1.04
H: 0.8693 0.1119 0.5500  1 N 1.05
H: 0.8693 0.3881 0.0500  1 N 1.05
H: 0.9622 0.1972 0.4561  1 N 1.04
H: 0.9622 0.3028 0.9561  1 N 1.04
N: 0.1403 0.6431 0.0625  4 H 1.04-1.05
N: 0.1403 0.8569 0.5625  4 H 1.04-1.05
N: 0.8597 0.1431 0.4375  4 H 1.04-1.05
N: 0.8597 0.3569 0.9375  4 H 1.04-1.05
O: 0.0696 0.5197 0.7652  1 P 1.54
O: 0.0696 0.9803 0.2652  1 P 1.54
O: 0.1141 0.1443 0.0008  1 P 1.53
O: 0.1141 0.3557 0.5008  1 P 1.53
O: 0.1667 0.1519 0.7577  1 P 1.53
O: 0.1667 0.3481 0.2577  1 P 1.53
O: 0.1842 0.6072 0.3954  1 H 1.01
O: 0.1842 0.8928 0.8954  1 H 1.01
O: 0.3537 0.6084 0.7512  1 P 1.53
O: 0.3537 0.8916 0.2512  1 P 1.53
O: 0.3674 0.0929 0.5142  1 P 1.52
O: 0.3674 0.4071 0.0142  1 P 1.52
O: 0.4476 0.2292 0.2619  1 P 1.55, 1 H 1.56
O: 0.4476 0.2708 0.7619  1 P 1.55, 1 H 1.56
O: 0.4669 0.6670 0.4498  1 H 1.03
O: 0.4669 0.8330 0.9498  1 H 1.03
O: 0.5331 0.1670 0.0502  1 H 1.03
O: 0.5331 0.3330 0.5502  1 H 1.03
O: 0.5524 0.7292 0.2381  1 P 1.55, 1 H 1.56
O: 0.5524 0.7708 0.7381  1 P 1.55, 1 H 1.56
O: 0.6326 0.5929 0.9858  1 P 1.52
O: 0.6326 0.9071 0.4858  1 P 1.52
O: 0.6463 0.1084 0.7488  1 P 1.53
O: 0.6463 0.3916 0.2488  1 P 1.53
O: 0.8158 0.1072 0.1046  1 H 1.01
O: 0.8158 0.3928 0.6046  1 H 1.01
O: 0.8333 0.6519 0.7423  1 P 1.53
O: 0.8333 0.8481 0.2423  1 P 1.53
O: 0.8859 0.6443 0.4992  1 P 1.53
O: 0.8859 0.8557 0.9992  1 P 1.53
O: 0.9304 0.0197 0.7348  1 P 1.54
O: 0.9304 0.4803 0.2348  1 P 1.54

Crystal system = monoclinic
Space-group type = P2_1/c, No. 14

# 10
The following is a DFT calculation (GGA-PBEsol) of CaTa3Cd after structural relaxation.

Cell lengths 5.0313, 5.0313, 5.0313 Å; angles 90.00, 90.00, 90.00 degrees
Last column: nearest neighbours and their distance in Å.
Sites, in units of the cell vectors:
Ca: 0.0000 0.0000 0.0000  12 Ta 3.56
Ta: 0.0000 0.5000 0.5000  2 Cd 2.52
Ta: 0.5000 0.0000 0.5000  2 Cd 2.52
Ta: 0.5000 0.5000 0.0000  2 Cd 2.52
Cd: 0.5000 0.5000 0.5000  6 Ta 2.52

Crystal system = cubic
Space-group type = Pm-3m, No. 221
Formation energy = 1984 meV/atom

# 11
The following is a DFT calculation (GGA-PBEsol) of MgTa3Al after structural relaxation.

Cell lengths 4.7080, 4.7080, 4.7080 Å; angles 90.00, 90.00, 90.00 degrees
Last column: nearest neighbours and their distance in Å.
Sites, in units of the cell vectors:
Mg: 0.0000 0.0000 0.0000  12 Ta 3.33
Ta: 0.0000 0.5000 0.5000  2 Al 2.35
Ta: 0.5000 0.0000 0.5000  2 Al 2.35
Ta: 0.5000 0.5000 0.0000  2 Al 2.35
Al: 0.5000 0.5000 0.5000  6 Ta 2.35

Crystal system = cubic
Space-group type = Pm-3m, No. 221
Formation energy = 1274 meV/atom

# 12
The following is a DFT calculation (GGA-PBEsol) of KBe2Ir after structural relaxation.

Cell lengths 9.2993, 9.2993, 9.2993 Å; angles 16.94, 16.94, 16.94 degrees
Last column: nearest neighbours and their distance in Å.
Sites, in units of the cell vectors:
K: 0.0000 0.0000 0.0000  6 K 2.74
Be: 0.2270 0.2270 0.2270  3 Be 2.41
Be: 0.4942 0.4942 0.4942  3 Ir 2.32, 3 Be 2.41
Ir: 0.7659 0.7659 0.7659  3 Be 2.32

Crystal system = trigonal
Space-group type = R3m, No. 160
Offset from the most stable computed form = 0.490 eV per formula unit
Formation energy = 634 meV/atom

What are the M_tot values for these records? In order: 0.0001 0.1063 0.0000 0.6692 0.0002 0.0000 0.0000 0.0000 0.0000 0.0000 0.0000 0.0000 μB per atom.
What are the DFT total energy values for these records? In order: -2.587 -5.415 -3.959 -2.091 -5.804 -3.683 -12.459 -5.709 -6.238 -6.212 -7.419 -4.105 eV per atom.